MnAg3: optimized geometry, GGA-PBE.

The space group is Pm-3n (No. 223) and the conventional cell measures 5.199, 5.199 and 5.199 Å, with angles of 90.00, 90.00 and 90.00 degrees. The asymmetric unit holds Mn at (0.000, 0.000, 0.000) and Ag at (0.000, 0.250, 0.500).

The crystal system is cubic. The calculation puts the total DFT energy (no corrections) at -16.79 eV per formula unit. The value obtained for the energy of formation is 234.2 meV/atom. Its density of states at the Fermi level is 0.65 states/eV/f.u.